(1)
{"formula": "Y8Tm3Pu", "functional": "PBE", "state": "optimized geometry", "dft_energy_ev_per_cell": -78.87, "ef_kj_per_mol_atoms": 4.8, "spacegroup": "C2/m (12)", "lattice_angstrom": [[5.008, -5.016, 0.000], [5.008, 5.016, 0.000], [-2.497, 0.000, 7.464]], "species": ["Y", "Y", "Y", "Y", "Y", "Y", "Y", "Y", "Tm", "Tm", "Tm", "Pu"], "frac_coords": [[0.166, 0.166, 0.674], [0.167, 0.670, 0.673], [0.330, 0.833, 0.327], [0.331, 0.331, 0.331], [0.669, 0.669, 0.669], [0.670, 0.167, 0.673], [0.833, 0.330, 0.327], [0.834, 0.834, 0.326], [0.000, 0.500, 0.000], [0.500, 0.000, 0.000], [0.500, 0.500, 0.000], [0.000, 0.000, 0.000]]}



(2)
{"formula": "Ca2AcCdHg4", "functional": "PBE", "state": "optimized geometry", "dft_energy_ev_per_cell": -13.73, "ef_kj_per_mol_atoms": -42.2, "spacegroup": "R-3m (166)", "lattice_angstrom": [[2.639, 1.524, 9.403], [-2.639, 1.524, 9.403], [0.000, -3.048, 9.403]], "species": ["Ca", "Ca", "Ac", "Cd", "Hg", "Hg", "Hg", "Hg"], "frac_coords": [[0.237, 0.237, 0.237], [0.763, 0.763, 0.763], [0.000, 0.000, 0.000], [0.500, 0.500, 0.500], [0.123, 0.123, 0.123], [0.383, 0.383, 0.383], [0.617, 0.617, 0.617], [0.877, 0.877, 0.877]]}



(3)
{"formula": "Be2HgPb", "functional": "PBE", "state": "optimized geometry", "relative_energy_ev_per_fu": 0.00, "dft_energy_ev_per_cell": -9.97, "ef_kj_per_mol_atoms": 35.9, "spacegroup": "C2/m (12)", "lattice_angstrom": [[3.589, -2.077, 0.000], [3.589, 2.077, 0.000], [-2.424, 0.000, 5.381]], "species": ["Be", "Be", "Hg", "Pb"], "frac_coords": [[0.179, 0.179, 0.037], [0.821, 0.821, 0.963], [0.500, 0.500, 0.000], [0.000, 0.000, 0.500]]}



(4)
{"formula": "ZrTi2Ir", "functional": "PBE", "state": "optimized geometry", "relative_energy_ev_per_fu": 0.00, "dft_energy_ev_per_cell": -35.01, "ef_kj_per_mol_atoms": -43.8, "spacegroup": "P4/mmm (123)", "lattice_angstrom": [[3.136, 0.000, 0.000], [0.000, 3.136, 0.000], [0.000, 0.000, 7.061]], "species": ["Zr", "Ti", "Ti", "Ir"], "frac_coords": [[0.000, 0.000, 0.000], [0.500, 0.500, 0.282], [0.500, 0.500, 0.718], [0.000, 0.000, 0.500]]}